Entry a
Density functional theory data (PBE-GGA) for crystalline GePPt3 at its relaxed geometry.

a = 4.6399 Å, b = 4.6399 Å, c = 4.6399 Å
α = 90.00°, β = 90.00°, γ = 90.00°
Last column: nearest neighbours and their distance in Å.
Space group Pm-3m (No. 221)
One atom of each set of equivalent atoms:
Ge 0.0000 0.0000 0.0000 x1  6 Pt 2.32
P 0.5000 0.5000 0.5000 x1  12 Pt 3.28
Pt 0.0000 0.0000 0.5000 x3  2 Ge 2.32

Output
The calculation puts the density of states at the Fermi level at 2.07 states/eV/cell.



Entry b
Density functional theory data (PBE-GGA) for crystalline GePPt3 at its relaxed geometry.

a = 4.5458 Å, b = 4.5458 Å, c = 4.5458 Å
α = 90.00°, β = 90.00°, γ = 90.00°
Last column: nearest neighbours and their distance in Å.
Space group Pm-3m (No. 221)
One atom of each set of equivalent atoms:
Ge 0.0000 0.0000 0.0000 x1  12 Pt 3.21
P 0.5000 0.5000 0.5000 x1  6 Pt 2.27
Pt 0.0000 0.5000 0.5000 x3  2 P 2.27

Output
The calculation puts the density of states at the Fermi level at 2.36 states/eV/cell.



Pick entry b: it beats the second-best structure by 0.662 eV/atom.